A relaxed NaAsSeBr2 crystal, computed with PBE-GGA.

The structure belongs to space group P4/mmm (No. 123); the cell edges are 5.069, 5.069 and 6.410 Å and the angles 90.00°, 90.00° and 90.00°. The inequivalent atoms are Na at (0.000, 0.000, 0.000), As at (0.000, 0.000, 0.500), Se at (0.500, 0.500, 0.500) and Br at (0.000, 0.500, 0.000).

The raw formation energy is 461.8 meV per atom. As for the energy relative to the lowest polymorph listed for this composition: 0.910 eV per atom.

A relaxed NaSiAs2Br crystal, computed with PBE-GGA.

The structure belongs to space group P4/mmm (No. 123); the cell edges are 5.098, 5.098 and 5.193 Å and the angles 90.00°, 90.00° and 90.00°. The inequivalent atoms are Na at (0.000, 0.000, 0.000), Si at (0.500, 0.500, 0.500), As at (0.000, 0.500, 0.000) and Br at (0.000, 0.000, 0.500).

The raw formation energy is 1051.0 meV per atom. As for the energy relative to the lowest polymorph listed for this composition: 0.976 eV per atom.

A relaxed NaSiAs2Br crystal, computed with PBE-GGA.

The structure belongs to space group P4/mmm (No. 123); the cell edges are 4.659, 4.659 and 6.669 Å and the angles 90.00°, 90.00° and 90.00°. The inequivalent atoms are Na at (0.000, 0.000, 0.000), Si at (0.500, 0.500, 0.500), As at (0.000, 0.500, 0.500) and Br at (0.500, 0.500, 0.000).

The raw formation energy is 74.9 meV per atom. As for the energy relative to the lowest polymorph listed for this composition: 0.000 eV per atom.

A relaxed NaSnAs2Br crystal, computed with PBE-GGA.

The structure belongs to space group P4/mmm (No. 123); the cell edges are 5.273, 5.273 and 6.038 Å and the angles 90.00°, 90.00° and 90.00°. The inequivalent atoms are Na at (0.000, 0.000, 0.000), Sn at (0.500, 0.500, 0.500), As at (0.000, 0.500, 0.500) and Br at (0.500, 0.500, 0.000).

The raw formation energy is 139.2 meV per atom. As for the energy relative to the lowest polymorph listed for this composition: 0.000 eV per atom.

A relaxed NaSnAs2Br crystal, computed with PBE-GGA.

The structure belongs to space group P4/mmm (No. 123); the cell edges are 5.128, 5.128 and 5.367 Å and the angles 90.00°, 90.00° and 90.00°. The inequivalent atoms are Na at (0.000, 0.000, 0.000), Sn at (0.500, 0.500, 0.500), As at (0.000, 0.500, 0.000) and Br at (0.000, 0.000, 0.500).

The raw formation energy is 569.8 meV per atom. As for the energy relative to the lowest polymorph listed for this composition: 0.431 eV per atom.

A relaxed NaSn2AsBr crystal, computed with PBE-GGA.

The structure belongs to space group P4/mmm (No. 123); the cell edges are 5.631, 5.631 and 5.322 Å and the angles 90.00°, 90.00° and 90.00°. The inequivalent atoms are Na at (0.000, 0.000, 0.000), Sn at (0.000, 0.500, 0.500), As at (0.500, 0.500, 0.000) and Br at (0.500, 0.500, 0.500).

The raw formation energy is 488.0 meV per atom.

A relaxed NaSnAsBr2 crystal, computed with PBE-GGA.

The structure belongs to space group P4/mmm (No. 123); the cell edges are 5.830, 5.830 and 5.300 Å and the angles 90.00°, 90.00° and 90.00°. The inequivalent atoms are Na at (0.000, 0.000, 0.000), Sn at (0.500, 0.500, 0.500), As at (0.500, 0.500, 0.000) and Br at (0.000, 0.500, 0.500).

The raw formation energy is -301.6 meV per atom. As for the energy relative to the lowest polymorph listed for this composition: 0.000 eV per atom.

A relaxed NaSnAsBr2 crystal, computed with PBE-GGA.

The structure belongs to space group P4/mmm (No. 123); the cell edges are 5.232, 5.232 and 5.673 Å and the angles 90.00°, 90.00° and 90.00°. The inequivalent atoms are Na at (0.000, 0.000, 0.000), Sn at (0.500, 0.500, 0.500), As at (0.000, 0.000, 0.500) and Br at (0.000, 0.500, 0.000).

The raw formation energy is 42.0 meV per atom. As for the energy relative to the lowest polymorph listed for this composition: 0.344 eV per atom.

> Number 2 is which compound?

NaSiAs2Br